First-principles (PBE-GGA) data for a geometry-optimized SbOs2I structure, as listed in Alexandria via LeMat-Bulk.

## Properties
- calculated total energy (eV/atom) = -5.79
- formation energy without anion corrections (eV per atom) = 1.2386
- D(E_F) (states/eV/f.u.) = 3.69

extended XYZ file:
```
8
Lattice="-5.305 -1.628 -1.925 2.350 -1.570 -5.148 -0.546 -7.132 -1.424" Properties=species:S:1:pos:R:3 pbc="T T T"
I 0.000 0.000 0.000
I -3.664 -5.180 -3.443
Sb -1.477 -1.599 -3.537
Sb 0.163 -5.151 -5.054
Os -3.190 -3.007 -2.214
Os 0.701 -2.958 -3.803
Os -1.531 -6.539 -3.690
Os -2.981 -8.157 -7.288
```

***

First-principles (PBE-GGA) data for a geometry-optimized Sb2OsI structure, as listed in Alexandria via LeMat-Bulk.

## Properties
- calculated total energy (eV/atom) = -4.16
- formation energy without anion corrections (eV per atom) = 1.0915
- D(E_F) (states/eV/f.u.) = 3.85

extended XYZ file:
```
4
Lattice="0.000 3.593 3.593 3.593 0.000 3.593 3.593 3.593 0.000" Properties=species:S:1:pos:R:3 pbc="T T T"
I 0.000 0.000 0.000
Sb 1.796 1.796 1.796
Sb 5.389 5.389 5.389
Os 3.593 3.593 3.593
```